PBE ReRuSeN2, optimized geometry; magnetic moment = 3.47 μB/f.u.; space group = P4/mmm; energy above the most stable polymorph in this dataset = 552 meV per atom; DOS at the Fermi energy = 3.287 states/eV/f.u.; uncorrected formation energy = 1468.3 meV/atom
1.0
3.7796 0.0000 0.0000
0.0000 3.7796 0.0000
0.0000 0.0000 5.4703
Ru Re Se N
1 1 1 2
direct
0.0000 0.0000 0.0000
0.5000 0.5000 0.5000
0.0000 0.0000 0.5000
0.5000 0.0000 0.0000
0.0000 0.5000 0.0000